VASP calculation (PBE with a Hubbard U) on a geometry-optimized Ti2IrWO structure.

Cell and atoms, written as extended XYZ:
```
5
Lattice="4.899 0.000 0.000 0.000 4.618 0.000 0.000 0.000 4.899" Properties=species:S:1:pos:R:3 pbc="T T T"
Ir 0.000 2.309 0.000
O 2.450 2.309 2.450
W 0.000 0.000 0.000
Ti 0.000 0.000 2.450
Ti 2.450 0.000 0.000
```

Results
space group: No. 123
energy: -5.629 eV per atom
theoretical density: 7.31 g cm⁻³